(1)
First-principles (GGA-PBE) data for an optimized crystal structure of TaNiB4, as listed in OQMD via LeMat-Bulk.

Unit cell a=4.5091 b=4.5091 c=4.5091 alpha=140.85 beta=109.98 gamma=83.27
Atoms (fractional coordinates):
Ta1 0.0000 0.0000 0.0000
Ni1 0.5000 0.5000 0.0000
B1 0.0697 0.7441 0.3256
B2 0.4185 0.7441 0.6744
B3 0.5815 0.2559 0.3256
B4 0.9303 0.2559 0.6744

Computed properties:
Its total magnetization is 0.00 Bohr magnetons per cell. Its symmetry is Immm (71).



(2)
First-principles (GGA-PBE) data for an optimized crystal structure of TaZnNiB, as listed in OQMD via LeMat-Bulk.

Unit cell a=4.1035 b=4.1035 c=4.1035 alpha=60.00 beta=60.00 gamma=60.00
Atoms (fractional coordinates):
Ta1 0.0000 0.0000 0.0000
Zn1 0.5000 0.5000 0.5000
Ni1 0.7500 0.7500 0.7500
B1 0.2500 0.2500 0.2500

Computed properties:
Its total magnetization is 0.00 Bohr magnetons per cell. Its symmetry is F-43m (216).



(3)
First-principles (GGA-PBE) data for an optimized crystal structure of ZrTaNiB, as listed in OQMD via LeMat-Bulk.

Unit cell a=4.3193 b=4.3193 c=4.3193 alpha=60.00 beta=60.00 gamma=60.00
Atoms (fractional coordinates):
Zr1 0.0000 0.0000 0.0000
Ta1 0.5000 0.5000 0.5000
Ni1 0.2500 0.2500 0.2500
B1 0.7500 0.7500 0.7500

Computed properties:
Its total magnetization is 0.09 Bohr magnetons per cell. Its symmetry is F-43m (216).



(4)
First-principles (GGA-PBE) data for an optimized crystal structure of ZrTaNiB, as listed in OQMD via LeMat-Bulk.

Unit cell a=4.3630 b=4.3630 c=4.3630 alpha=60.00 beta=60.00 gamma=60.00
Atoms (fractional coordinates):
Zr1 0.0000 0.0000 0.0000
Ta1 0.2500 0.2500 0.2500
Ni1 0.7500 0.7500 0.7500
B1 0.5000 0.5000 0.5000

Computed properties:
Its total magnetization is 1.95 Bohr magnetons per cell. Its symmetry is F-43m (216).



(5)
First-principles (GGA-PBE) data for an optimized crystal structure of TbNiB4, as listed in OQMD via LeMat-Bulk.

Unit cell a=4.8421 b=4.8421 c=4.8421 alpha=142.16 beta=113.84 gamma=78.82
Atoms (fractional coordinates):
Tb1 0.0000 0.0000 0.0000
Ni1 0.5000 0.5000 0.0000
B1 0.0742 0.7463 0.3280
B2 0.4183 0.7463 0.6720
B3 0.5817 0.2537 0.3280
B4 0.9258 0.2537 0.6720

Computed properties:
Its total magnetization is 0.01 Bohr magnetons per cell. Its symmetry is Immm (71).



(6)
First-principles (GGA-PBE) data for an optimized crystal structure of TbNiB4, as listed in OQMD via LeMat-Bulk.

Unit cell a=3.1875 b=3.1875 c=6.5004 alpha=90.00 beta=90.00 gamma=120.00
Atoms (fractional coordinates):
Tb1 0.0000 0.0000 0.0000
Ni1 0.0000 0.0000 0.5000
B1 0.3333 0.6667 0.2961
B2 0.3333 0.6667 0.7039
B3 0.6667 0.3333 0.2961
B4 0.6667 0.3333 0.7039

Computed properties:
Its total magnetization is 0.00 Bohr magnetons per cell. Its symmetry is P6/mmm (191).



Total energy, record by record: -45.788; -24.553; -32.407; -29.609; -37.694; -38.538 eV per cell